! PBE with a Hubbard U Rb2ZnNiF6, optimized geometry; values from VASP
&SYSTEM
  ibrav = 0, nat = 10, ntyp = 4
/
ATOMIC_SPECIES
Zn 65.41 Zn.upf
F 19.00 F.upf
Ni 58.69 Ni.upf
Rb 85.47 Rb.upf
CELL_PARAMETERS angstrom
5.8767 0.0000 0.0000
0.0000 5.8767 0.0000
2.9384 2.9384 4.1600
ATOMIC_POSITIONS crystal
Zn 0.0000 0.0000 0.0000
F 0.7483 0.7483 0.0000
F 0.2517 0.7483 0.0000
F 0.7483 0.2517 0.0000
F 0.2518 0.2518 0.4964
F 0.7482 0.7482 0.5036
F 0.2517 0.2517 0.0000
Ni 0.5000 0.5000 0.0000
Rb 0.2500 0.7500 0.5000
Rb 0.7500 0.2500 0.5000
! - Density of states at the Fermi level: 0.000 states/eV/atom
! - E_tot: -41.93 eV per cell